VASP calculation (PBE with a Hubbard U) on Co2TeO after structural relaxation.

Computed properties:
SG	Fm-3m, No. 225
distance to the lowest polymorph of the same formula	3.94	eV per formula unit
crystal system	cubic
D(E_F)	2.9	states/eV/f.u.

Lattice parameters (Å, degrees): 4.156 4.156 4.156 60.00 60.00 60.00
Positions (direct):
Co  0.250  0.250  0.250
Co  0.750  0.750  0.750
Te  0.000  0.000  0.000
O  0.500  0.500  0.500